(a)
VASP calculation (PBE with a Hubbard U) on Mn2BeHgF after structural relaxation.

**DOS(E_F)**: 2.0 states/eV/f.u.
**Size of the total moment**: 9.99 Bohr magnetons per cell
**Calculated volume**: 135.8 Å³/cell

Cell lengths 5.3124, 4.8130, 5.3124 Å; angles 90.00, 90.00, 90.00 degrees
Closest atoms and distances in Å follow each position.
Element x y z (fractional)
Hg: 0.0000 0.0000 0.0000  2 F 2.41, 4 Mn 2.66
Be: 0.5000 0.5000 0.5000  8 Mn 3.58, 4 F 3.76
Mn: 0.5000 0.0000 0.0000  2 Hg 2.66
Mn: 0.0000 0.0000 0.5000  2 Hg 2.66
F: 0.0000 0.5000 0.0000  2 Hg 2.41



(b)
VASP calculation (PBE with a Hubbard U) on Mn2BeHgF after structural relaxation.

**DOS(E_F)**: 1.5 states/eV/f.u.
**Size of the total moment**: 9.54 Bohr magnetons per cell
**Calculated volume**: 100.4 Å³/cell

Cell lengths 4.7433, 4.4629, 4.7433 Å; angles 90.00, 90.00, 90.00 degrees
Closest atoms and distances in Å follow each position.
Element x y z (fractional)
Hg: 0.0000 0.5000 0.0000  2 Be 2.23
Mn: 0.0000 0.0000 0.5000  2 Be 2.37
Mn: 0.5000 0.0000 0.0000  2 Be 2.37
F: 0.5000 0.5000 0.5000  8 Mn 3.26, 4 Hg 3.35
Be: 0.0000 0.0000 0.0000  2 Hg 2.23, 4 Mn 2.37



Going by the computed energies, the most stable comes first: (b), (a).